This record from Alexandria describes crystalline K2Hf3MnO8 at its relaxed geometry. The functional is PBE with a Hubbard U. Values from VASP.

Structure (Quantum ESPRESSO input):
```
&SYSTEM
  ibrav = 0, nat = 14, ntyp = 4
/
ATOMIC_SPECIES
K 39.10 K.upf
Hf 178.49 Hf.upf
Mn 54.94 Mn.upf
O 16.00 O.upf
CELL_PARAMETERS angstrom
6.456 0.000 0.000
3.228 5.591 0.000
3.228 1.864 6.548
ATOMIC_POSITIONS crystal
K 0.137 0.137 0.589
K 0.492 0.492 0.524
Hf 0.492 0.991 0.025
Hf 0.991 0.492 0.025
Hf 0.492 0.492 0.025
Mn 0.970 0.970 0.090
O 0.271 0.271 0.188
O 0.711 0.711 0.866
O 0.219 0.219 0.870
O 0.693 0.219 0.870
O 0.219 0.693 0.870
O 0.756 0.295 0.193
O 0.295 0.756 0.193
O 0.756 0.756 0.193
```

Calculated values
N(E_F) = 0.000 states/eV per atom
density = 5.60 Mg/m³
electronic total energy = -8.4958 eV per atom